# 1
A PBEsol-optimized structure of CdAgSb2. Source: Alexandria via LeMat-Bulk, functional SCAN.

## Properties
* excess energy over the best structure of this formula in the dataset: 0.02 eV/f.u.
* uncorrected energy: -33.8851 eV/atom
* E_form (uncorrected): 18 kJ/mol of atoms

a b c (Å): 5.4437 5.4437 5.4437
angles (deg): 134.66 124.38 74.47
Closest atoms and distances in Å follow each position.
Fractional positions:
Cd  0.0000  0.0000  0.0000  8 Sb 3.06-3.30, 4 Ag 3.29
Ag  0.5000  0.5000  0.0000  4 Sb 2.97, 4 Cd 3.29
Sb  0.2574  0.7574  0.5000  2 Ag 2.97, 4 Cd 3.06-3.30, 4 Sb 3.30
Sb  0.7426  0.2426  0.5000  2 Ag 2.97, 4 Cd 3.06-3.30, 4 Sb 3.30

# 2
A PBEsol-optimized structure of ReGeSb3. Source: Alexandria via LeMat-Bulk, functional SCAN.

## Properties
* excess energy over the best structure of this formula in the dataset: 0.00 eV/f.u.
* uncorrected energy: -39.5332 eV/atom
* E_form (uncorrected): 83 kJ/mol of atoms

a b c (Å): 5.1104 5.1104 5.1104
angles (deg): 90.00 90.00 90.00
Closest atoms and distances in Å follow each position.
Fractional positions:
Re  0.0000  0.0000  0.0000  6 Sb 2.56
Ge  0.5000  0.5000  0.5000  12 Sb 3.61
Sb  0.0000  0.0000  0.5000  2 Re 2.56
Sb  0.0000  0.5000  0.0000  2 Re 2.56
Sb  0.5000  0.0000  0.0000  2 Re 2.56

# 3
A PBEsol-optimized structure of Pm3Tm. Source: Alexandria via LeMat-Bulk, functional SCAN.

## Properties
* excess energy over the best structure of this formula in the dataset: 0.00 eV/f.u.
* uncorrected energy: -45.9304 eV/atom

a b c (Å): 6.1036 6.1036 6.1036
angles (deg): 131.67 131.67 70.75
Closest atoms and distances in Å follow each position.
Fractional positions:
Pm  0.0000  0.0000  0.0000  8 Pm 3.53, 4 Tm 3.53
Pm  0.2500  0.7500  0.5000  4 Tm 3.53, 8 Pm 3.53
Pm  0.7500  0.2500  0.5000  4 Tm 3.53, 8 Pm 3.53
Tm  0.5000  0.5000  0.0000  12 Pm 3.53

# 4
A PBEsol-optimized structure of FeHSN2. Source: Alexandria via LeMat-Bulk, functional SCAN.

## Properties
* uncorrected energy: -8.1373 eV/atom

a b c (Å): 3.1086 3.1086 4.8293
angles (deg): 90.00 90.00 90.00
Closest atoms and distances in Å follow each position.
Fractional positions:
Fe  0.0000  0.0000  0.0000  4 S 2.20
H  0.5000  0.5000  0.5000  4 N 1.55
S  0.5000  0.5000  0.0000  4 Fe 2.20, 2 H 2.41
N  0.0000  0.5000  0.5000  2 H 1.55
N  0.5000  0.0000  0.5000  2 H 1.55

# 5
A PBEsol-optimized structure of MgCu2O4. Source: Alexandria via LeMat-Bulk, functional SCAN.

## Properties
* excess energy over the best structure of this formula in the dataset: 0.11 eV/f.u.
* uncorrected energy: -9.9442 eV/atom
* E_form (uncorrected): -128 kJ/mol of atoms

a b c (Å): 3.0459 9.8380 9.0461
angles (deg): 90.00 90.00 90.00
Closest atoms and distances in Å follow each position.
Fractional positions:
Mg  0.1274  0.1505  0.2500  6 O 2.10-2.22
Mg  0.1274  0.3495  0.7500  6 O 2.10-2.22
Mg  0.8726  0.6505  0.2500  6 O 2.10-2.22
Mg  0.8726  0.8495  0.7500  6 O 2.10-2.22
Cu  0.3465  0.6150  0.5701  4 O 1.82-1.84
Cu  0.3465  0.6150  0.9299  4 O 1.82-1.84
Cu  0.3465  0.8850  0.0701  4 O 1.82-1.84
Cu  0.3465  0.8850  0.4299  4 O 1.82-1.84
Cu  0.6535  0.1150  0.5701  4 O 1.82-1.84
Cu  0.6535  0.1150  0.9299  4 O 1.82-1.84
Cu  0.6535  0.3850  0.0701  4 O 1.82-1.84
Cu  0.6535  0.3850  0.4299  4 O 1.82-1.84
O  0.0064  0.2500  0.0000  2 Cu 1.82
O  0.0064  0.2500  0.5000  2 Cu 1.82
O  0.3643  0.5439  0.1173  2 Cu 1.84
O  0.3643  0.5439  0.3827  2 Cu 1.84
O  0.3643  0.9561  0.6173  2 Cu 1.84
O  0.3643  0.9561  0.8827  2 Cu 1.84
O  0.3699  0.7019  0.7500  2 Cu 1.84
O  0.3699  0.7981  0.2500  2 Cu 1.84
O  0.6301  0.2019  0.7500  2 Cu 1.84
O  0.6301  0.2981  0.2500  2 Cu 1.84
O  0.6357  0.0439  0.1173  2 Cu 1.84
O  0.6357  0.0439  0.3827  2 Cu 1.84
O  0.6357  0.4561  0.6173  2 Cu 1.84
O  0.6357  0.4561  0.8827  2 Cu 1.84
O  0.9936  0.7500  0.0000  2 Cu 1.82
O  0.9936  0.7500  0.5000  2 Cu 1.82

# 6
A PBEsol-optimized structure of LiOsAu3. Source: Alexandria via LeMat-Bulk, functional SCAN.

## Properties
* uncorrected energy: -55.5677 eV/atom

a b c (Å): 4.9760 4.9760 4.9760
angles (deg): 90.00 90.00 90.00
Closest atoms and distances in Å follow each position.
Fractional positions:
Li  0.0000  0.0000  0.0000  12 Au 3.52
Os  0.5000  0.5000  0.5000  6 Au 2.49
Au  0.0000  0.5000  0.5000  2 Os 2.49
Au  0.5000  0.0000  0.5000  2 Os 2.49
Au  0.5000  0.5000  0.0000  2 Os 2.49

# 7
A PBEsol-optimized structure of KTi2Br. Source: Alexandria via LeMat-Bulk, functional SCAN.

## Properties
* uncorrected energy: -13.7147 eV/atom
* E_form (uncorrected): 120 kJ/mol of atoms

a b c (Å): 4.8846 4.8846 4.8846
angles (deg): 60.00 60.00 60.00
Closest atoms and distances in Å follow each position.
Fractional positions:
K  0.0000  0.0000  0.0000  8 Ti 2.99
Ti  0.2500  0.2500  0.2500  4 Br 2.99, 4 K 2.99
Ti  0.7500  0.7500  0.7500  4 Br 2.99, 4 K 2.99
Br  0.5000  0.5000  0.5000  8 Ti 2.99

# 8
A PBEsol-optimized structure of Ca2Pd2Pt. Source: Alexandria via LeMat-Bulk, functional SCAN.

## Properties
* uncorrected energy: -31.7592 eV/atom

a b c (Å): 6.9191 6.9191 4.1433
angles (deg): 90.00 90.00 90.00
Closest atoms and distances in Å follow each position.
Fractional positions:
Ca  0.1775  0.3225  0.0000  6 Pd 2.77-3.00
Ca  0.3225  0.8225  0.0000  6 Pd 2.77-3.00
Ca  0.6775  0.1775  0.0000  6 Pd 2.77-3.00
Ca  0.8225  0.6775  0.0000  6 Pd 2.77-3.00
Pd  0.1339  0.6339  0.5000  1 Pd 2.62, 2 Pt 2.70, 2 Ca 2.77
Pd  0.3661  0.1339  0.5000  1 Pd 2.62, 2 Pt 2.70, 2 Ca 2.77
Pd  0.6339  0.8661  0.5000  1 Pd 2.62, 2 Pt 2.70, 2 Ca 2.77
Pd  0.8661  0.3661  0.5000  1 Pd 2.62, 2 Pt 2.70, 2 Ca 2.77
Pt  0.0000  0.0000  0.5000  4 Pd 2.70
Pt  0.5000  0.5000  0.5000  4 Pd 2.70

# 9
A PBEsol-optimized structure of Na3FeAsCO7. Source: Alexandria via LeMat-Bulk, functional SCAN.

## Properties
* uncorrected energy: -9.8034 eV/atom
* E_form (uncorrected): -169 kJ/mol of atoms

a b c (Å): 5.1812 6.7054 9.1553
angles (deg): 90.00 90.71 90.00
Closest atoms and distances in Å follow each position.
Fractional positions:
Na  0.2350  0.2500  0.0812  5 O 2.34-2.48
Na  0.2521  0.0002  0.7432  5 O 2.29-2.55
Na  0.2521  0.4998  0.7432  5 O 2.29-2.55
Na  0.7479  0.9998  0.2568  5 O 2.29-2.55
Na  0.7479  0.5002  0.2568  5 O 2.29-2.55
Na  0.7650  0.7500  0.9188  5 O 2.34-2.48
Fe  0.2175  0.7500  0.3432  5 O 2.02-2.22
Fe  0.7825  0.2500  0.6568  5 O 2.02-2.22
As  0.3023  0.2500  0.4167  4 O 1.72-1.74
As  0.6977  0.7500  0.5833  4 O 1.72-1.74
C  0.2745  0.7500  0.0551  3 O 1.29-1.30
C  0.7255  0.2500  0.9449  3 O 1.29-1.30
O  0.0513  0.7500  0.1185  1 C 1.30
O  0.1476  0.2500  0.5818  1 As 1.72
O  0.2287  0.0478  0.3051  1 As 1.74
O  0.2287  0.4522  0.3051  1 As 1.74
O  0.2880  0.7500  0.9143  1 C 1.29
O  0.3670  0.7500  0.5527  1 As 1.73
O  0.4821  0.7500  0.1357  1 C 1.30
O  0.5179  0.2500  0.8643  1 C 1.30
O  0.6330  0.2500  0.4473  1 As 1.73
O  0.7120  0.2500  0.0857  1 C 1.29
O  0.7713  0.5478  0.6949  1 As 1.74
O  0.7713  0.9522  0.6949  1 As 1.74
O  0.8524  0.7500  0.4182  1 As 1.72
O  0.9487  0.2500  0.8815  1 C 1.30

# 10
A PBEsol-optimized structure of ZrCrCo. Source: Alexandria via LeMat-Bulk, functional SCAN.

## Properties
* excess energy over the best structure of this formula in the dataset: 0.00 eV/f.u.
* uncorrected energy: -22.2260 eV/atom

a b c (Å): 8.2057 4.7852 4.7852
angles (deg): 61.69 90.00 90.00
Closest atoms and distances in Å follow each position.
Fractional positions:
Zr  0.1828  0.0000  0.0000  7 Co 2.76-2.89, 5 Cr 2.88-2.95, 4 Zr 2.92-3.00
Zr  0.3096  0.3327  0.3327  5 Co 2.78-2.88, 7 Cr 2.86-2.94, 3 Zr 2.92-3.00
Zr  0.6904  0.3327  0.3327  5 Co 2.78-2.88, 7 Cr 2.86-2.94, 3 Zr 2.92-3.00
Zr  0.8172  0.0000  0.0000  7 Co 2.76-2.89, 5 Cr 2.88-2.95, 4 Zr 2.92-3.00
Cr  0.0000  0.5118  0.5118  6 Co 2.36-2.40
Cr  0.5000  0.3296  0.8341  4 Cr 2.35-2.48, 2 Co 2.53
Cr  0.5000  0.8341  0.3296  4 Cr 2.35-2.48, 2 Co 2.53
Cr  0.5000  0.8375  0.8375  4 Cr 2.35-2.44, 2 Co 2.54
Co  0.0000  0.0144  0.5088  2 Cr 2.39-2.40, 4 Co 2.43-2.48
Co  0.0000  0.5088  0.0144  2 Cr 2.39-2.40, 4 Co 2.43-2.48
Co  0.2435  0.6641  0.6641  4 Cr 2.36-2.54, 2 Co 2.48
Co  0.7565  0.6641  0.6641  4 Cr 2.36-2.54, 2 Co 2.48

# 11
A PBEsol-optimized structure of Rb2NdCl5. Source: Alexandria via LeMat-Bulk, functional SCAN.

## Properties
* uncorrected energy: -18.0628 eV/atom
* E_form (uncorrected): -236 kJ/mol of atoms

a b c (Å): 13.0809 8.7890 8.1546
angles (deg): 90.00 90.00 90.00
Closest atoms and distances in Å follow each position.
Fractional positions:
Rb  0.1715  0.0050  0.0565  8 Cl 3.24-3.48
Rb  0.1715  0.4950  0.0565  8 Cl 3.24-3.48
Rb  0.3285  0.5050  0.5565  8 Cl 3.24-3.48
Rb  0.3285  0.9950  0.5565  8 Cl 3.24-3.48
Rb  0.6715  0.0050  0.4435  8 Cl 3.24-3.48
Rb  0.6715  0.4950  0.4435  8 Cl 3.24-3.48
Rb  0.8285  0.5050  0.9435  8 Cl 3.24-3.48
Rb  0.8285  0.9950  0.9435  8 Cl 3.24-3.48
Nd  0.0054  0.2500  0.5725  7 Cl 2.74-2.84
Nd  0.4946  0.7500  0.0725  7 Cl 2.74-2.84
Nd  0.5054  0.2500  0.9275  7 Cl 2.74-2.84
Nd  0.9946  0.7500  0.4275  7 Cl 2.74-2.84
Cl  0.0109  0.2500  0.9099  1 Nd 2.75
Cl  0.0729  0.5428  0.6629  2 Nd 2.82-2.84
Cl  0.0729  0.9572  0.6629  2 Nd 2.82-2.84
Cl  0.1770  0.2500  0.3798  1 Nd 2.74
Cl  0.1985  0.7500  0.3458  1 Nd 2.75
Cl  0.3015  0.2500  0.8458  1 Nd 2.75
Cl  0.3230  0.7500  0.8798  1 Nd 2.74
Cl  0.4271  0.0428  0.1629  2 Nd 2.82-2.84
Cl  0.4271  0.4572  0.1629  2 Nd 2.82-2.84
Cl  0.4891  0.7500  0.4099  1 Nd 2.75
Cl  0.5109  0.2500  0.5901  1 Nd 2.75
Cl  0.5729  0.5428  0.8371  2 Nd 2.82-2.84
Cl  0.5729  0.9572  0.8371  2 Nd 2.82-2.84
Cl  0.6770  0.2500  0.1202  1 Nd 2.74
Cl  0.6985  0.7500  0.1542  1 Nd 2.75
Cl  0.8015  0.2500  0.6542  1 Nd 2.75
Cl  0.8230  0.7500  0.6202  1 Nd 2.74
Cl  0.9271  0.0428  0.3371  2 Nd 2.82-2.84
Cl  0.9271  0.4572  0.3371  2 Nd 2.82-2.84
Cl  0.9891  0.7500  0.0901  1 Nd 2.75

# 12
A PBEsol-optimized structure of Na2TiSi4O11. Source: Alexandria via LeMat-Bulk, functional SCAN.

## Properties
* uncorrected energy: -10.3429 eV/atom
* E_form (uncorrected): -285 kJ/mol of atoms

a b c (Å): 8.5710 8.5710 8.5710
angles (deg): 102.02 102.02 125.69
Closest atoms and distances in Å follow each position.
Fractional positions:
Na  0.1303  0.8172  0.9475  5 O 2.36-2.50
Na  0.1828  0.1303  0.3131  5 O 2.36-2.50
Na  0.8172  0.8697  0.6869  5 O 2.36-2.50
Na  0.8697  0.1828  0.0525  5 O 2.36-2.50
Ti  0.2562  0.2562  0.0000  6 O 1.91-2.00
Ti  0.7438  0.7438  0.0000  6 O 1.91-2.00
Si  0.0007  0.6811  0.2972  4 O 1.60-1.65
Si  0.2965  0.9993  0.6803  4 O 1.60-1.65
Si  0.3189  0.6161  0.3197  4 O 1.60-1.65
Si  0.3839  0.7035  0.7028  4 O 1.60-1.65
Si  0.6161  0.2965  0.2972  4 O 1.60-1.65
Si  0.6811  0.3839  0.6803  4 O 1.60-1.65
Si  0.7035  0.0007  0.3197  4 O 1.60-1.65
Si  0.9993  0.3189  0.7028  4 O 1.60-1.65
O  0.0000  0.0000  0.0000  2 Ti 2.00
O  0.0544  0.2813  0.8733  1 Si 1.60
O  0.0887  0.5550  0.2702  2 Si 1.64-1.65
O  0.1812  0.0544  0.7731  1 Si 1.60
O  0.1815  0.9113  0.4663  2 Si 1.64-1.65
O  0.1965  0.4538  0.6503  2 Si 1.63
O  0.2813  0.4080  0.2269  1 Si 1.60
O  0.2847  0.8185  0.7298  2 Si 1.64-1.65
O  0.4080  0.1812  0.1267  1 Si 1.60
O  0.4450  0.7153  0.5337  2 Si 1.64-1.65
O  0.4538  0.8035  0.2573  2 Si 1.63
O  0.5000  0.5000  0.0000  2 Ti 1.91
O  0.5462  0.1965  0.7427  2 Si 1.63
O  0.5550  0.2847  0.4663  2 Si 1.64-1.65
O  0.5920  0.8188  0.8733  1 Si 1.60
O  0.7153  0.1815  0.2702  2 Si 1.64-1.65
O  0.7187  0.5920  0.7731  1 Si 1.60
O  0.8035  0.5462  0.3497  2 Si 1.63
O  0.8185  0.0887  0.5337  2 Si 1.64-1.65
O  0.8188  0.9456  0.2269  1 Si 1.60
O  0.9113  0.4450  0.7298  2 Si 1.64-1.65
O  0.9456  0.7187  0.1267  1 Si 1.60